# 1
## ZrTa2Rh (PBE-GGA)

Data for a relaxed ZrTa2Rh crystal.

Structure (extended XYZ):
```
4
Lattice="2.9505 0.0000 0.0000 0.0000 4.5655 0.0000 -1.0419 0.0000 5.3430" Properties=species:S:1:pos:R:3 pbc="T T T"
Zr 0.0000 0.0000 0.0000
Ta 0.0025 2.2827 3.9329
Ta 0.9785 0.0000 2.6721
Rh 1.9449 2.2827 1.3312
```

As for the magnetic moment: 0.0 μB/cell. The calculation puts the density of states at the Fermi level at 3.8 states/eV/cell. Its symmetry is Pm (6). As for the calculated total energy: -10.062 eV per atom.



# 2
## InAsW2 (PBE-GGA)

Data for a relaxed InAsW2 crystal.

Structure (extended XYZ):
```
4
Lattice="0.0000 3.2347 3.2347 3.2347 0.0000 3.2347 3.2347 3.2347 0.0000" Properties=species:S:1:pos:R:3 pbc="T T T"
In 0.0000 0.0000 0.0000
As 3.2347 3.2347 3.2347
W 1.6173 1.6173 1.6173
W 4.8520 4.8520 4.8520
```

The polymorph energy (0 for the lowest one) is 538 meV per atom. As for the magnetic moment: 0.0 μB/cell. The calculation puts the density of states at the Fermi level at 5.2 states/eV/cell. Its symmetry is Fm-3m (225).



# 3
## La3DyY6 (PBE-GGA)

Data for a relaxed La3DyY6 crystal.

Structure (extended XYZ):
```
20
Lattice="5.5287 -9.5617 0.0000 5.5287 9.5617 0.0000 0.0000 0.0000 6.4467" Properties=species:S:1:pos:R:3 pbc="T T T"
La 5.5287 7.3940 3.2233
La 3.5946 2.1952 5.7684
La 3.5946 -2.1952 2.5451
La 7.4628 2.1952 5.7684
La 7.4628 -2.1952 2.5451
La 5.5287 -7.3940 0.0000
Dy 5.5287 3.7075 3.6243
Dy 5.5287 -3.7075 0.4010
Y 2.6542 3.9980 1.9534
Y 1.8654 0.8604 3.1190
Y 1.8654 -0.8604 6.3423
Y 5.5287 5.2031 0.5286
Y 2.6542 -3.9980 5.1768
Y 5.5287 0.7410 1.9441
Y 5.5287 -0.7410 5.1674
Y 8.4031 3.9980 1.9534
Y 5.5287 -5.2031 3.7519
Y 9.1920 0.8604 3.1190
Y 9.1920 -0.8604 6.3423
Y 8.4031 -3.9980 5.1768
```

The polymorph energy (0 for the lowest one) is 0 meV per atom. As for the magnetic moment: 0.0 μB/cell. The calculation puts the density of states at the Fermi level at 28.5 states/eV/cell. Its symmetry is Cmc2_1 (36).



# 4
## AcNd6Tm12 (PBE-GGA)

Data for a relaxed AcNd6Tm12 crystal.

Structure (extended XYZ):
```
19
Lattice="7.3227 4.2277 3.6412 -7.3227 4.2277 3.6412 0.0000 -8.4555 3.6412" Properties=species:S:1:pos:R:3 pbc="T T T"
Ac 0.0000 0.0000 0.0000
Nd -2.9462 -1.7010 6.1339
Nd 0.0000 -3.4020 4.7897
Nd -2.9462 1.7010 4.7897
Nd 2.9462 -1.7010 6.1339
Nd 0.0000 3.4020 6.1339
Nd 2.9462 1.7010 4.7897
Tm -1.7735 -1.0239 2.9748
Tm -2.8408 -4.9204 5.4618
Tm -5.6816 0.0000 5.4618
Tm 1.7735 -1.0240 2.9749
Tm 0.0000 2.0479 2.9749
Tm 2.8408 -4.9204 5.4618
Tm -2.8408 4.9204 5.4618
Tm 0.0000 -2.0479 7.9487
Tm -1.7735 1.0239 7.9487
Tm 5.6816 0.0000 5.4618
Tm 2.8408 4.9204 5.4618
Tm 1.7735 1.0240 7.9487
```

As for the magnetic moment: 0.0 μB/cell. The calculation puts the density of states at the Fermi level at 29.4 states/eV/cell. Its symmetry is R-3m (166). As for the calculated total energy: -4.104 eV per atom.



# 5
## LiInCo2 (PBE-GGA)

Data for a relaxed LiInCo2 crystal.

Structure (extended XYZ):
```
8
Lattice="-1.8034 1.8034 9.1283 1.8034 -1.8034 9.1283 1.8034 1.8034 -9.1283" Properties=species:S:1:pos:R:3 pbc="T T T"
Li 0.0000 0.0000 0.0000
Li 0.0000 1.8034 4.5641
In 1.8034 0.0000 4.5641
In 0.0000 0.0000 9.1283
Co 2.7051 0.7678 -2.2821
Co 0.7678 0.9017 2.2821
Co -0.9017 1.0356 6.8462
Co 1.0356 0.9017 11.4104
```

As for the magnetic moment: 6.0 μB/cell. The calculation puts the density of states at the Fermi level at 12.3 states/eV/cell. Its symmetry is I-42d (122). As for the calculated total energy: -4.308 eV per atom.



# 6
## Er2NpScO8 (PBE-GGA)

Data for a relaxed Er2NpScO8 crystal.

Structure (extended XYZ):
```
12
Lattice="3.4708 -3.5908 0.0000 3.4708 3.5908 0.0000 0.0000 0.0000 6.8047" Properties=species:S:1:pos:R:3 pbc="T T T"
Er 0.0000 0.0000 1.6126
Er 0.0000 0.0000 5.1921
Np 3.4708 0.0000 3.4024
Sc 3.4708 0.0000 0.0000
O 1.4223 0.0000 0.0000
O 1.4683 0.0000 3.4024
O 3.4708 1.3034 1.8219
O 3.4708 1.3034 4.9828
O 3.4708 -1.3034 1.8219
O 3.4708 -1.3034 4.9828
O 5.4732 0.0000 3.4024
O 5.5192 0.0000 0.0000
```

As for the magnetic moment: 0.0 μB/cell. Its raw formation energy is -3178.3 meV per atom. Its symmetry is Cmmm (65).



# 7
## CaTbGeAu (PBE-GGA)

Data for a relaxed CaTbGeAu crystal.

Structure (extended XYZ):
```
4
Lattice="0.0000 3.6146 3.6146 3.6146 0.0000 3.6146 3.6146 3.6146 0.0000" Properties=species:S:1:pos:R:3 pbc="T T T"
Ca 0.0000 0.0000 0.0000
Tb 3.6146 3.6146 3.6146
Ge 1.8073 1.8073 1.8073
Au 5.4219 5.4219 5.4219
```

As for the magnetic moment: 0.0 μB/cell. The calculation puts the density of states at the Fermi level at 1.4 states/eV/cell. Its symmetry is F-43m (216). As for the calculated total energy: -4.397 eV per atom.



# 8
## TbDyCuPd (PBE-GGA)

Data for a relaxed TbDyCuPd crystal.

Structure (extended XYZ):
```
4
Lattice="4.5540 0.0000 0.0000 0.0000 1.8680 5.2282 0.0000 -1.8680 5.2282" Properties=species:S:1:pos:R:3 pbc="T T T"
Tb 0.0000 0.0000 0.0000
Dy 2.2770 0.0000 7.5555
Cu 0.0000 0.0000 2.9546
Pd 2.2770 0.0000 4.5927
```

The polymorph energy (0 for the lowest one) is 0 meV per atom. As for the magnetic moment: 0.0 μB/cell. The calculation puts the density of states at the Fermi level at 2.5 states/eV/cell. Its symmetry is Amm2 (38).



# 9
## CaHgPd2 (PBE-GGA)

Data for a relaxed CaHgPd2 crystal.

Structure (extended XYZ):
```
4
Lattice="4.3818 0.0000 0.0000 0.0000 4.3818 0.0000 0.0000 0.0000 3.9781" Properties=species:S:1:pos:R:3 pbc="T T T"
Ca 0.0000 0.0000 0.0000
Hg 2.1909 2.1909 0.0000
Pd 0.0000 2.1909 1.9890
Pd 2.1909 0.0000 1.9890
```

As for the magnetic moment: 0.0 μB/cell. The calculation puts the density of states at the Fermi level at 0.6 states/eV/cell. Its symmetry is P4/mmm (123). As for the calculated total energy: -3.714 eV per atom.



# 10
## Rb2VPdCl6 (PBE-GGA)

Data for a relaxed Rb2VPdCl6 crystal.

Structure (extended XYZ):
```
10
Lattice="-3.6145 3.6145 4.9513 3.6145 -3.6145 4.9513 3.6145 3.6145 -4.9513" Properties=species:S:1:pos:R:3 pbc="T T T"
Rb 3.6145 0.0000 2.4756
Rb 0.0000 3.6145 2.4756
V 0.0000 0.0000 0.0000
Pd 0.0000 0.0000 4.9513
Cl 1.6965 1.6965 0.0000
Cl 1.9179 -1.9179 4.9513
Cl 0.0000 0.0000 2.4259
Cl 0.0000 0.0000 7.4766
Cl -1.9179 1.9179 4.9513
Cl 1.9179 1.9179 4.9513
```

As for the magnetic moment: 2.7 μB/cell. The calculation puts the density of states at the Fermi level at 14.2 states/eV/cell. Its raw formation energy is -1262.2 meV per atom. Its symmetry is I4/mmm (139).